# Rb3Np6F20

A geometry-optimized Rb3Np6F20 structure (PBE, Alexandria).

## Properties
Total magnetic moment: 25.00 μB per formula unit
Uncorrected formation energy: -3.1842 eV/atom
Electronic total energy: -7.252 eV per atom
Crystal system: cubic

Lattice parameters (Å, degrees): 12.414 12.414 12.414 90.00 90.00 90.00
Space group Fm-3m (No. 225)
Asymmetric unit:
Rb 0.000 0.000 0.000
Rb 0.250 0.250 0.250
Np 0.000 0.000 0.268
F 0.000 0.162 0.162
F 0.114 0.114 0.386